## TbY5Se6 (GGA-PBE)

Data for a geometry-optimized TbY5Se6 structure.

Computed properties:
The space group is C2/m. The volume comes out at 289.7 Å³/cell. Its uncorrected formation energy is -1768 meV/atom.

Cell lengths 7.093, 7.093, 7.066 Å; angles 99.64, 99.64, 120.13 degrees
Sites, in units of the cell vectors:
Tb 0.000 0.000 0.000
Y 0.166 0.834 0.500
Y 0.333 0.667 0.000
Y 0.500 0.500 0.500
Y 0.667 0.333 0.000
Y 0.834 0.166 0.500
Se 0.083 0.417 0.250
Se 0.250 0.250 0.750
Se 0.417 0.083 0.250
Se 0.583 0.917 0.750
Se 0.750 0.750 0.250
Se 0.917 0.583 0.750